No. 1
Below is an optimized crystal structure of Ca2TaCr, with properties calculated at the PBE-GGA level.

Cell: 3.369 5.585 10.480 Å, 90.00 90.00 90.00°
Space group Imm2 (No. 44)
Unique sites:
Ca  0.000  0.000  0.000 (multiplicity 2)
Ca  0.000  0.500  0.201 (multiplicity 2)
Ta  0.000  0.000  0.415 (multiplicity 2)
Cr  0.000  0.500  0.750 (multiplicity 2)

## Properties
* VASP energy: -45.78 eV for the cell shown
* formation enthalpy at 0 K: 2.6 eV/f.u.
* crystal system: orthorhombic
* polymorph energy (0 for the lowest one): 240.6 meV per atom

No. 2
Below is an optimized crystal structure of CaTaCr2, with properties calculated at the PBE-GGA level.

Cell: 4.667 4.667 17.265 Å, 90.00 90.00 90.00°
Space group I4_1/amd (No. 141, origin choice 2)
Unique sites:
Ca  0.000  0.250  0.375 (multiplicity 4)
Ta  0.000  0.250  0.875 (multiplicity 4)
Cr  0.000  0.000  0.000 (multiplicity 8)

## Properties
* VASP energy: -111.97 eV for the cell shown
* formation enthalpy at 0 K: 5.1 eV/f.u.
* crystal system: tetragonal
* polymorph energy (0 for the lowest one): 786.3 meV per atom

No. 3
Below is an optimized crystal structure of CaTaCr2, with properties calculated at the PBE-GGA level.

Cell: 3.414 4.332 4.933 Å, 90.00 90.00 90.00°
Space group Pmmm (No. 47)
Unique sites:
Ca  0.000  0.000  0.000 (multiplicity 1)
Ta  0.500  0.000  0.500 (multiplicity 1)
Cr  0.000  0.500  0.500 (multiplicity 1)
Cr  0.500  0.500  0.000 (multiplicity 1)

## Properties
* VASP energy: -29.44 eV for the cell shown
* formation enthalpy at 0 K: 3.7 eV/f.u.
* crystal system: orthorhombic
* polymorph energy (0 for the lowest one): 425.4 meV per atom

No. 4
Below is an optimized crystal structure of CaTaCr2, with properties calculated at the PBE-GGA level.

Cell: 6.591 6.591 6.591 Å, 90.00 90.00 90.00°
Space group Fm-3m (No. 225)
Unique sites:
Ca  0.000  0.000  0.000 (multiplicity 4)
Ta  0.000  0.000  0.500 (multiplicity 4)
Cr  0.250  0.250  0.250 (multiplicity 8)

## Properties
* VASP energy: -121.01 eV for the cell shown
* formation enthalpy at 0 K: 2.8 eV/f.u.
* crystal system: cubic
* polymorph energy (0 for the lowest one): 221.4 meV per atom

No. 5
Below is an optimized crystal structure of CaTaCr, with properties calculated at the PBE-GGA level.

Cell: 6.474 6.474 6.474 Å, 90.00 90.00 90.00°
Space group F-43m (No. 216)
Unique sites:
Ca  0.000  0.000  0.000 (multiplicity 4)
Ta  0.000  0.000  0.500 (multiplicity 4)
Cr  0.250  0.250  0.750 (multiplicity 4)

## Properties
* VASP energy: -78.93 eV for the cell shown
* formation enthalpy at 0 K: 3.7 eV/f.u.
* crystal system: cubic
* polymorph energy (0 for the lowest one): 730.1 meV per atom

No. 6
Below is an optimized crystal structure of CaTaCr2, with properties calculated at the PBE-GGA level.

Cell: 9.213 3.022 5.981 Å, 90.00 95.45 90.00°
Space group C2/m (No. 12)
Unique sites:
Ca  0.000  0.000  0.000 (multiplicity 2)
Ta  0.000  0.500  0.500 (multiplicity 2)
Cr  0.243  0.000  0.630 (multiplicity 4)

## Properties
* VASP energy: -60.78 eV for the cell shown
* formation enthalpy at 0 K: 2.7 eV/f.u.
* crystal system: monoclinic
* polymorph energy (0 for the lowest one): 187.1 meV per atom

No. 7
Below is an optimized crystal structure of Ca2TaCr, with properties calculated at the PBE-GGA level.

Cell: 5.626 5.626 3.204 Å, 90.00 90.00 90.00°
Space group P4/mmm (No. 123)
Unique sites:
Ca  0.000  0.500  0.000 (multiplicity 2)
Ta  0.000  0.000  0.500 (multiplicity 1)
Cr  0.500  0.500  0.500 (multiplicity 1)

## Properties
* VASP energy: -21.42 eV for the cell shown
* formation enthalpy at 0 K: 4.1 eV/f.u.
* crystal system: tetragonal
* polymorph energy (0 for the lowest one): 608.7 meV per atom

No. 8
Below is an optimized crystal structure of Ca2TaCr, with properties calculated at the PBE-GGA level.

Cell: 8.342 8.342 5.736 Å, 90.00 90.00 90.00°
Space group I-42d (No. 122)
Unique sites:
Ca  0.219  0.250  0.125 (multiplicity 8)
Ta  0.000  0.000  0.500 (multiplicity 4)
Cr  0.000  0.000  0.000 (multiplicity 4)

## Properties
* VASP energy: -81.69 eV for the cell shown
* formation enthalpy at 0 K: 5.1 eV/f.u.
* crystal system: tetragonal
* polymorph energy (0 for the lowest one): 857.1 meV per atom

No. 9
Below is an optimized crystal structure of Ca2TaCr, with properties calculated at the PBE-GGA level.

Cell: 4.285 4.285 5.068 Å, 90.00 90.00 90.00°
Space group P4/mmm (No. 123)
Unique sites:
Ca  0.000  0.500  0.000 (multiplicity 2)
Ta  0.000  0.000  0.500 (multiplicity 1)
Cr  0.500  0.500  0.500 (multiplicity 1)

## Properties
* VASP energy: -21.87 eV for the cell shown
* formation enthalpy at 0 K: 3.6 eV/f.u.
* crystal system: tetragonal
* polymorph energy (0 for the lowest one): 494.8 meV per atom

No. 10
Below is an optimized crystal structure of Ca2TaCr, with properties calculated at the PBE-GGA level.

Cell: 4.305 4.305 10.124 Å, 90.00 90.00 90.00°
Space group I4/mmm (No. 139)
Unique sites:
Ca  0.000  0.500  0.250 (multiplicity 4)
Ta  0.000  0.000  0.000 (multiplicity 2)
Cr  0.000  0.000  0.500 (multiplicity 2)

## Properties
* VASP energy: -43.81 eV for the cell shown
* formation enthalpy at 0 K: 3.6 eV/f.u.
* crystal system: tetragonal
* polymorph energy (0 for the lowest one): 487.3 meV per atom

No. 11
Below is an optimized crystal structure of Ca4TaCr2, with properties calculated at the PBE-GGA level.

Cell: 5.603 5.603 15.585 Å, 90.00 90.00 90.00°
Space group I4/mmm (No. 139)
Unique sites:
Ca  0.000  0.000  0.192 (multiplicity 4)
Ca  0.000  0.500  0.000 (multiplicity 4)
Ta  0.000  0.000  0.000 (multiplicity 2)
Cr  0.000  0.000  0.397 (multiplicity 4)

## Properties
* VASP energy: -61.26 eV for the cell shown
* formation enthalpy at 0 K: 8.5 eV/f.u.
* crystal system: tetragonal

No. 12
Below is an optimized crystal structure of CaTaCr, with properties calculated at the PBE-GGA level.

Cell: 3.345 5.029 14.232 Å, 90.00 90.00 90.00°
Space group Fmm2 (No. 42)
Unique sites:
Ca  0.000  0.000  0.000 (multiplicity 4)
Ta  0.000  0.000  0.298 (multiplicity 4)
Cr  0.000  0.000  0.675 (multiplicity 4)

## Properties
* VASP energy: -85.38 eV for the cell shown
* formation enthalpy at 0 K: 2.1 eV/f.u.
* crystal system: orthorhombic
* polymorph energy (0 for the lowest one): 192.6 meV per atom